(1)
Entry from Alexandria via LeMat-Bulk: La3Te2Br after structural relaxation (PBE).

Output
Volume (Å³/atom): 32.4
Raw formation energy (meV/atom): -1458
DOS(E_F) (states/eV per cell): 10.61

a = 6.385 Å, b = 6.388 Å, c = 10.045 Å
α = 90.00°, β = 108.44°, γ = 90.00°
Space group C2/m (No. 12)
One atom of each set of equivalent atoms:
La (0.000, 0.000, 0.000) x2
La (0.163, 0.500, 0.325) x4
Te (0.169, 0.000, 0.337) x4
Br (0.000, 0.500, 0.000) x2

(2)
Entry from Alexandria via LeMat-Bulk: LaTeBr2 after structural relaxation (PBE).

Output
Volume (Å³/atom): 29.6
Energy relative to the lowest polymorph listed for this composition (meV/atom): 313
Raw formation energy (meV/atom): -1070
DOS(E_F) (states/eV per cell): 27.33

a = 7.792 Å, b = 7.792 Å, c = 7.792 Å
α = 90.00°, β = 90.00°, γ = 90.00°
Space group F-43m (No. 216)
One atom of each set of equivalent atoms:
La (0.000, 0.000, 0.000) x4
Te (0.250, 0.250, 0.250) x4
Br (0.000, 0.000, 0.500) x4
Br (0.250, 0.250, 0.750) x4

(3)
Entry from Alexandria via LeMat-Bulk: LaTeBr2 after structural relaxation (PBE).

Output
Volume (Å³/atom): 32.1
Energy relative to the lowest polymorph listed for this composition (meV/atom): 42
Raw formation energy (meV/atom): -1341
DOS(E_F) (states/eV per cell): 0.87

a = 4.854 Å, b = 4.657 Å, c = 5.959 Å
α = 90.00°, β = 107.43°, γ = 90.00°
Space group Pm (No. 6)
One atom of each set of equivalent atoms:
La (0.000, 0.000, 0.000) x1
Te (0.431, 0.500, 0.851) x1
Br (0.290, 0.500, 0.314) x1
Br (0.833, 0.000, 0.476) x1